[1]
DFT (PBE) results for a geometry-optimized Ta5GaC structure.

The structure in POSCAR format:
```
Ta5GaC
1.0
0.093 -5.099 -1.852
2.447 -1.239 4.682
-7.383 -0.094 2.715
Ta Ga C
10 2 2
direct
0.102 0.643 0.367
0.646 0.816 0.529
0.816 0.646 0.029
0.118 0.882 0.750
0.643 0.102 0.867
0.357 0.898 0.133
0.898 0.357 0.633
0.354 0.184 0.471
0.882 0.118 0.250
0.184 0.354 0.971
0.542 0.458 0.250
0.458 0.542 0.750
0.000 0.000 0.000
0.000 0.000 0.500
```

Results
* energy relative to the elements: -21 kJ/mol of atoms
* SG: No. 15
* theoretical density: 14.42 g cm⁻³


[2]
DFT (PBE) results for a geometry-optimized TaGaC3 structure.

The structure in POSCAR format:
```
TaGaC3
1.0
-3.236 -2.119 -1.728
2.734 -2.462 -2.101
0.046 -2.720 3.248
C Ta Ga
3 1 1
direct
0.000 0.000 0.500
0.500 0.000 0.000
0.000 0.500 0.000
0.000 0.000 0.000
0.500 0.500 0.500
```

Results
* energy relative to the elements: 171 kJ/mol of atoms
* energy above the lowest structure with this stoichiometry: 0.0000 eV/atom
* SG: No. 221
* theoretical density: 6.26 g cm⁻³


[3]
DFT (PBE) results for a geometry-optimized Ta4GaC structure.

The structure in POSCAR format:
```
Ta4GaC
1.0
-1.653 3.383 -3.490
-0.656 -4.391 -3.945
-5.585 -0.824 1.846
Ta C Ga
8 2 2
direct
0.500 0.362 0.811
0.500 0.189 0.362
0.500 0.811 0.638
0.000 0.638 0.811
0.500 0.638 0.189
0.000 0.189 0.638
0.000 0.362 0.189
0.000 0.811 0.362
0.250 0.500 0.500
0.750 0.500 0.500
0.250 0.000 0.000
0.750 0.000 0.000
```

Results
* energy relative to the elements: -22 kJ/mol of atoms
* energy above the lowest structure with this stoichiometry: 0.0000 eV/atom
* SG: No. 124
* theoretical density: 14.77 g cm⁻³


[4]
DFT (PBE) results for a geometry-optimized TaGaC3 structure.

The structure in POSCAR format:
```
TaGaC3
1.0
3.852 0.000 0.000
0.000 3.852 0.000
0.000 0.000 3.852
Ga C Ta
1 3 1
direct
0.000 0.000 0.000
0.000 0.500 0.000
0.500 0.000 0.000
0.000 0.000 0.500
0.500 0.500 0.500
```

Results
* energy relative to the elements: 227 kJ/mol of atoms
* energy above the lowest structure with this stoichiometry: 0.5769 eV/atom
* SG: No. 221
* theoretical density: 8.33 g cm⁻³


[5]
DFT (PBE) results for a geometry-optimized Ta4GaC2 structure.

The structure in POSCAR format:
```
Ta4GaC2
1.0
3.290 0.000 0.000
-1.645 5.317 0.000
0.000 0.000 11.161
C Ta Ga
4 8 2
direct
0.136 0.273 0.439
0.864 0.727 0.561
0.136 0.273 0.061
0.864 0.727 0.939
0.500 0.000 0.000
0.237 0.474 0.609
0.082 0.165 0.250
0.763 0.526 0.109
0.763 0.526 0.391
0.237 0.474 0.891
0.500 0.000 0.500
0.918 0.835 0.750
0.394 0.789 0.250
0.606 0.211 0.750
```

Results
* energy relative to the elements: -47 kJ/mol of atoms
* SG: No. 63
* theoretical density: 13.91 g cm⁻³


[6]
DFT (PBE) results for a geometry-optimized Ta8Ga2C3 structure.

The structure in POSCAR format:
```
Ta8Ga2C3
1.0
-4.869 2.063 0.744
-2.076 -3.052 -5.123
0.430 -3.886 6.031
Ta Ga C
8 2 3
direct
0.874 0.100 0.200
0.625 0.164 0.816
0.126 0.900 0.800
0.625 0.651 0.816
0.892 0.592 0.185
0.108 0.408 0.815
0.375 0.836 0.184
0.375 0.349 0.184
0.642 0.749 0.498
0.358 0.251 0.502
0.500 0.000 0.000
0.000 0.766 0.000
0.000 0.234 0.000
```

Results
* energy relative to the elements: -5 kJ/mol of atoms
* SG: No. 12
* theoretical density: 12.55 g cm⁻³


[7]
DFT (PBE) results for a geometry-optimized TaGa2C structure.

The structure in POSCAR format:
```
TaGa2C
1.0
6.929 0.000 0.000
0.000 6.929 0.000
3.465 3.465 2.332
Ga Ta C
4 2 2
direct
0.546 0.125 0.250
0.204 0.625 0.250
0.375 0.454 0.750
0.875 0.796 0.750
0.750 0.250 0.500
0.000 0.000 0.000
0.250 0.750 0.500
0.500 0.500 0.000
```

Results
* energy relative to the elements: 58 kJ/mol of atoms
* SG: No. 122
* theoretical density: 9.86 g cm⁻³


[8]
DFT (PBE) results for a geometry-optimized Ta6Ga3C structure.

The structure in POSCAR format:
```
Ta6Ga3C
1.0
-0.862 -1.755 -4.418
8.219 -1.344 -1.071
-3.236 -6.963 3.398
Ga Ta C
6 12 2
direct
0.161 0.705 0.906
0.661 0.295 0.094
0.148 0.392 0.608
0.648 0.608 0.392
0.661 0.906 0.705
0.161 0.094 0.295
0.656 0.937 0.391
0.300 0.051 0.949
0.149 0.746 0.254
0.649 0.254 0.746
0.652 0.277 0.412
0.156 0.063 0.609
0.152 0.723 0.588
0.652 0.588 0.723
0.156 0.391 0.937
0.800 0.949 0.051
0.656 0.609 0.063
0.152 0.412 0.277
0.450 0.864 0.136
0.950 0.136 0.864
```

Results
* energy relative to the elements: -4 kJ/mol of atoms
* SG: No. 36
* theoretical density: 13.34 g cm⁻³


Repeat the fourth record exactly.
DFT (PBE) results for a geometry-optimized TaGaC3 structure.

The structure in POSCAR format:
```
TaGaC3
1.0
3.852 0.000 0.000
0.000 3.852 0.000
0.000 0.000 3.852
Ga C Ta
1 3 1
direct
0.000 0.000 0.000
0.000 0.500 0.000
0.500 0.000 0.000
0.000 0.000 0.500
0.500 0.500 0.500
```

Results
* energy relative to the elements: 227 kJ/mol of atoms
* energy above the lowest structure with this stoichiometry: 0.5769 eV/atom
* SG: No. 221
* theoretical density: 8.33 g cm⁻³


Please write out number 6 again, unchanged.
DFT (PBE) results for a geometry-optimized Ta8Ga2C3 structure.

The structure in POSCAR format:
```
Ta8Ga2C3
1.0
-4.869 2.063 0.744
-2.076 -3.052 -5.123
0.430 -3.886 6.031
Ta Ga C
8 2 3
direct
0.874 0.100 0.200
0.625 0.164 0.816
0.126 0.900 0.800
0.625 0.651 0.816
0.892 0.592 0.185
0.108 0.408 0.815
0.375 0.836 0.184
0.375 0.349 0.184
0.642 0.749 0.498
0.358 0.251 0.502
0.500 0.000 0.000
0.000 0.766 0.000
0.000 0.234 0.000
```

Results
* energy relative to the elements: -5 kJ/mol of atoms
* SG: No. 12
* theoretical density: 12.55 g cm⁻³